Record 1
# PaOF (PBE, relaxed)
# Fermi-level density of states = 44.33 states/eV per cell
# Raw total energy = -8.60 eV per atom
# Total magnetic moment = 0.332 μB/atom
# Energy relative to the elements, uncorrected = -3.156 eV/atom
data_PaOF
_cell_length_a 8.917
_cell_length_b 10.851
_cell_length_c 7.564
_cell_angle_alpha 90.00
_cell_angle_beta 90.00
_cell_angle_gamma 90.00
_space_group_name_H-M_alt 'F d d 2'
_space_group_IT_number 43
_space_group_name_Hall 'F 2 -2d'
loop_
_atom_site_label
_atom_site_type_symbol
_atom_site_fract_x
_atom_site_fract_y
_atom_site_fract_z
Pa1 Pa 0.048 0.227 0.000
O1 O 0.028 0.133 0.705
F1 F 0.049 0.118 0.286

***

Record 2
# PaO2F (PBE, relaxed)
# Fermi-level density of states = 0.00 states/eV per cell
# Raw total energy = -8.87 eV per atom
# Total magnetic moment = 0.000 μB/atom
# Energy relative to the lowest polymorph listed for this composition = 60 meV per atom
# Energy relative to the elements, uncorrected = -3.551 eV/atom
data_PaO2F
_cell_length_a 3.7523
_cell_length_b 3.7523
_cell_length_c 13.9994
_cell_angle_alpha 90.00
_cell_angle_beta 90.00
_cell_angle_gamma 120.00
_space_group_name_H-M_alt 'R 3 m'
_space_group_IT_number 160
_space_group_name_Hall 'R 3 -2"'
loop_
_atom_site_label
_atom_site_type_symbol
_atom_site_fract_x
_atom_site_fract_y
_atom_site_fract_z
Pa1 Pa 0.0000 0.0000 0.0000
O1 O 0.0000 0.0000 0.3817
O2 O 0.0000 0.0000 0.6242
F1 F 0.0000 0.0000 0.8456

***

Record 3
# PaO6F2 (PBE, relaxed)
# Fermi-level density of states = 10.36 states/eV per cell
# Raw total energy = -6.39 eV per atom
# Total magnetic moment = 0.520 μB/atom
# Energy relative to the elements, uncorrected = -1.609 eV/atom
data_PaO6F2
_cell_length_a 3.837
_cell_length_b 7.429
_cell_length_c 7.510
_cell_angle_alpha 117.87
_cell_angle_beta 104.38
_cell_angle_gamma 90.89
_space_group_name_H-M_alt 'P -1'
_space_group_IT_number 2
loop_
_space_group_symop_operation_xyz
'x,y,z'
'-x,-y,-z'
loop_
_atom_site_label
_atom_site_type_symbol
_atom_site_fract_x
_atom_site_fract_y
_atom_site_fract_z
Pa1 Pa 0.000 0.000 0.000
O1 O 0.006 0.250 0.998
O2 O 0.315 0.410 0.641
O3 O 0.319 0.243 0.636
F1 F 0.394 0.897 0.788

***

Record 4
# PaOF (PBE, relaxed)
# Fermi-level density of states = 15.70 states/eV per cell
# Raw total energy = -8.47 eV per atom
# Total magnetic moment = 0.198 μB/atom
# Energy relative to the elements, uncorrected = -3.030 eV/atom
data_PaOF
_cell_length_a 5.593
_cell_length_b 5.593
_cell_length_c 5.593
_cell_angle_alpha 90.00
_cell_angle_beta 90.00
_cell_angle_gamma 90.00
_space_group_name_H-M_alt 'F -4 3 m'
_space_group_IT_number 216
_space_group_name_Hall 'F -4 2 3'
loop_
_atom_site_label
_atom_site_type_symbol
_atom_site_fract_x
_atom_site_fract_y
_atom_site_fract_z
Pa1 Pa 0.000 0.000 0.000
O1 O 0.250 0.250 0.750
F1 F 0.250 0.250 0.250